A plane-wave DFT calculation with PBE was carried out for crystalline CeLuCdAu at its relaxed geometry.

a = 5.213 Å, b = 5.213 Å, c = 5.213 Å
α = 60.00°, β = 60.00°, γ = 60.00°
Fractional positions:
Ce (0.000, 0.000, 0.000)
Lu (0.500, 0.500, 0.500)
Cd (0.750, 0.750, 0.750)
Au (0.250, 0.250, 0.250)

* space group: F-43m (216)
* raw total energy: -4.096 eV per atom
* calculated volume: 100 Å³ per cell
* DOS at the Fermi energy: 1.78 states/eV per atom
* energy relative to the elements: -434 meV per atom